This record from Alexandria describes a relaxed structure of Dy3Zn3Ru. The functional is PBE.

Cell and atoms, written as CIF:
```
data_Dy3Zn3Ru
_cell_length_a 10.673
_cell_length_b 3.884
_cell_length_c 15.229
_cell_angle_alpha 90.00
_cell_angle_beta 104.33
_cell_angle_gamma 90.00
_symmetry_space_group_name_H-M 'C 1 2/m 1'
_symmetry_Int_Tables_number 12
_symmetry_space_group_name_Hall '-C 2y'
loop_
_atom_site_label
_atom_site_type_symbol
_atom_site_fract_x
_atom_site_fract_y
_atom_site_fract_z
Dy1 Dy 0.023 0.000 0.385
Dy2 Dy 0.120 0.000 0.923
Dy3 Dy 0.242 0.000 0.241
Zn1 Zn 0.021 0.500 0.226
Zn2 Zn 0.102 0.500 0.076
Zn3 Zn 0.164 0.500 0.533
Ru1 Ru 0.219 0.500 0.368
```

Computed properties:
DOS at the Fermi energy	6.1	states/eV/f.u.
energy relative to the elements	-0.329	eV/atom
theoretical density	8.5	g/cm³
total magnetization	0.0	μB per formula unit
DFT total energy	-4.1726	eV/atom